DFT (PBE-GGA) results for crystalline ZrCoAs at its relaxed geometry.

a b c (Å): 5.3952 5.3952 5.3952
angles (deg): 146.63 146.63 47.91
Fractional coordinates of all 3 atoms:
1 Zr 0.0000 0.0000 0.0000
2 Co 0.3133 0.3133 0.0000
3 As 0.7030 0.7030 0.0000

For the density of states at the Fermi level, the calculation gives 2.6 states/eV/f.u. Its space-group type is I4mm (107). The formation energy from the elements comes out at -0.353 eV/atom. The volume is 15.8 Å³/atom.

DFT (PBE-GGA) results for crystalline ZrCoAs at its relaxed geometry.

a b c (Å): 6.4570 3.8601 11.0986
angles (deg): 90.00 90.04 90.00
Fractional coordinates of all 18 atoms:
1 Zr 0.0195 0.2500 0.2041
2 Zr 0.3399 0.7500 0.5757
3 Zr 0.4805 0.7500 0.8765
4 Zr 0.5195 0.2500 0.1235
5 Zr 0.6601 0.2500 0.4243
6 Zr 0.9805 0.7500 0.7959
7 Co 0.0060 0.2500 0.5899
8 Co 0.1424 0.2500 0.9587
9 Co 0.3565 0.7500 0.2939
10 Co 0.6435 0.2500 0.7061
11 Co 0.8576 0.7500 0.0413
12 Co 0.9940 0.7500 0.4101
13 As 0.2292 0.2500 0.4114
14 As 0.2297 0.7500 0.0759
15 As 0.2723 0.2500 0.7482
16 As 0.7277 0.7500 0.2518
17 As 0.7703 0.2500 0.9241
18 As 0.7708 0.7500 0.5886

For the density of states at the Fermi level, the calculation gives 1.0 states/eV/f.u. Its space-group type is P2_1/m (11). The formation energy from the elements comes out at -0.855 eV/atom. The volume is 15.4 Å³/atom.

DFT (PBE-GGA) results for crystalline ZrCo3As2 at its relaxed geometry.

a b c (Å): 7.8573 7.8573 9.2213
angles (deg): 107.13 107.13 27.35
Fractional coordinates of all 18 atoms:
1 Zr 0.0000 0.0000 0.0000
2 Zr 0.1540 0.1540 0.6931
3 Zr 0.8460 0.8460 0.3069
4 Co 0.0406 0.0406 0.3351
5 Co 0.2155 0.2155 0.3903
6 Co 0.3191 0.3191 0.0325
7 Co 0.3846 0.3846 0.8011
8 Co 0.5000 0.5000 0.5000
9 Co 0.6154 0.6154 0.1989
10 Co 0.6809 0.6809 0.9675
11 Co 0.7845 0.7845 0.6097
12 Co 0.9594 0.9594 0.6649
13 As 0.1969 0.1969 0.1322
14 As 0.3603 0.3603 0.5434
15 As 0.4587 0.4587 0.2140
16 As 0.5413 0.5413 0.7860
17 As 0.6397 0.6397 0.4566
18 As 0.8031 0.8031 0.8678

For the density of states at the Fermi level, the calculation gives 3.9 states/eV/f.u. Its space-group type is C2/m (12). The formation energy from the elements comes out at -0.539 eV/atom. The volume is 13.8 Å³/atom.

DFT (PBE-GGA) results for crystalline ZrCoAs2 at its relaxed geometry.

a b c (Å): 3.0019 3.0019 8.3744
angles (deg): 90.00 90.00 90.00
Fractional coordinates of all 4 atoms:
1 Zr 0.0000 0.0000 0.0000
2 Co 0.5000 0.5000 0.7739
3 As 0.0000 0.0000 0.6350
4 As 0.5000 0.5000 0.2438

For the density of states at the Fermi level, the calculation gives 3.7 states/eV/f.u. Its space-group type is P4mm (99). The formation energy from the elements comes out at -0.284 eV/atom. The volume is 18.9 Å³/atom.

DFT (PBE-GGA) results for crystalline ZrCo3As at its relaxed geometry.

a b c (Å): 4.5614 4.5614 4.5614
angles (deg): 90.00 90.00 90.00
Fractional coordinates of all 5 atoms:
1 Zr 0.0000 0.0000 0.0000
2 Co 0.0000 0.0000 0.5000
3 Co 0.0000 0.5000 0.0000
4 Co 0.5000 0.0000 0.0000
5 As 0.5000 0.5000 0.5000

For the density of states at the Fermi level, the calculation gives 7.0 states/eV/f.u. Its space-group type is Pm-3m (221). The formation energy from the elements comes out at 1.457 eV/atom. The volume is 19.0 Å³/atom.

DFT (PBE-GGA) results for crystalline ZrCoAs at its relaxed geometry.

a b c (Å): 4.7003 4.6892 3.5554
angles (deg): 67.92 67.58 44.50
Fractional coordinates of all 3 atoms:
1 Zr 0.0000 0.0000 0.0000
2 Co 0.3520 0.3520 0.6480
3 As 0.6642 0.6642 0.3358

For the density of states at the Fermi level, the calculation gives 2.2 states/eV/f.u. Its space-group type is Fmm2 (42). The formation energy from the elements comes out at -0.301 eV/atom. The volume is 16.7 Å³/atom.